No. 1
# K2CePbBr8

Crystalline K2CePbBr8 at its relaxed geometry (PBE-GGA, the Alexandria database).

Unit cell a=7.6290 b=7.1171 c=9.1941 alpha=90.00 beta=90.00 gamma=92.61
Site moments in Bohr magnetons follow the coordinates.
Element x y z (fractional)
Br 0.8665 0.2217 0.2256  0.00
Br 0.3181 0.2464 0.4999  0.00
Pb 0.0000 0.0000 0.5000  0.00
K 0.5001 0.5002 0.2544  0.00
Br 0.1335 0.7783 0.2257  0.00
Ce 0.0000 0.0000 0.0000  0.11
Br 0.6898 0.7788 0.9999  0.00
Br 0.6819 0.7536 0.5001  0.00
Br 0.8665 0.2217 0.7743  0.00
Br 0.1335 0.7783 0.7744  0.00
Br 0.3102 0.2212 0.0001  0.00
K 0.4999 0.4998 0.7456  0.00

Results
Calculated volume   498.7 Å³/cell
Formation energy without anion corrections   -1455 meV/atom
Magnetization   0.08 μB/cell

---

No. 2
# KCePbBr6

Crystalline KCePbBr6 at its relaxed geometry (PBE-GGA, the Alexandria database).

Unit cell a=7.7715 b=7.7715 c=14.2332 alpha=90.00 beta=90.00 gamma=120.00
Site moments in Bohr magnetons follow the coordinates.
Element x y z (fractional)
Br 0.3560 0.3684 0.8673  -0.01
Pb 0.6667 0.3333 0.7500  0.00
Br 0.3684 0.0124 0.1327  -0.01
Br 0.0124 0.6440 0.8673  -0.01
Br 0.3560 0.9876 0.6327  -0.01
Br 0.3684 0.3560 0.3673  -0.01
Pb 0.3333 0.6667 0.2500  0.00
Br 0.9876 0.6316 0.3673  -0.01
Ce 0.3333 0.6667 0.7500  0.98
Br 0.6440 0.0124 0.3673  -0.01
Br 0.9876 0.3560 0.1327  -0.01
Ce 0.6667 0.3333 0.2500  0.98
K 0.0000 0.0000 0.0000  0.00
Br 0.6440 0.6316 0.1327  -0.01
Br 0.6316 0.9876 0.8673  -0.01
Br 0.0124 0.3684 0.6327  -0.01
K 0.0000 0.0000 0.5000  0.00
Br 0.6316 0.6440 0.6327  -0.01

Results
Calculated volume   744.5 Å³/cell
Formation energy without anion corrections   -1520 meV/atom
Magnetization   2.00 μB/cell

---

No. 3
# KRbCe2Br8

Crystalline KRbCe2Br8 at its relaxed geometry (PBE-GGA, the Alexandria database).

Unit cell a=7.9817 b=7.9817 c=8.8075 alpha=90.00 beta=90.00 gamma=120.00
Site moments in Bohr magnetons follow the coordinates.
Element x y z (fractional)
Br 0.6667 0.3333 0.4042  -0.01
Ce 0.6667 0.3333 0.0863  0.98
Ce 0.3333 0.6667 0.9137  0.98
K 0.0000 0.0000 0.0000  0.00
Rb 0.0000 0.0000 0.5000  0.00
Br 0.0592 0.3828 0.1566  -0.01
Br 0.3333 0.6667 0.5958  -0.01
Br 0.6765 0.0592 0.8434  -0.01
Br 0.6172 0.6765 0.1566  -0.01
Br 0.9408 0.6172 0.8434  -0.01
Br 0.3235 0.9408 0.1566  -0.01
Br 0.3828 0.3235 0.8434  -0.01

Results
Calculated volume   485.9 Å³/cell
Formation energy without anion corrections   -1731 meV/atom
Magnetization   2.00 μB/cell

---

No. 4
# KRbCeBr6

Crystalline KRbCeBr6 at its relaxed geometry (PBE-GGA, the Alexandria database).

Unit cell a=8.1615 b=8.1615 c=13.8300 alpha=90.00 beta=90.00 gamma=120.00
Element x y z (fractional)
K 0.6667 0.3333 0.7500
K 0.3333 0.6667 0.2500
Br 0.6113 0.9515 0.8666
Br 0.3402 0.3887 0.8666
Br 0.3402 0.9515 0.6334
Br 0.0485 0.3887 0.6334
Br 0.3887 0.0485 0.1334
Ce 0.6667 0.3333 0.2500
Br 0.6598 0.6113 0.1334
Br 0.9515 0.6113 0.3666
Br 0.6113 0.6598 0.6334
Ce 0.3333 0.6667 0.7500
Rb 0.0000 0.0000 0.5000
Br 0.9515 0.3402 0.1334
Br 0.0485 0.6598 0.8666
Br 0.3887 0.3402 0.3666
Rb 0.0000 0.0000 0.0000
Br 0.6598 0.0485 0.3666

Results
Calculated volume   797.8 Å³/cell
Formation energy without anion corrections   -1693 meV/atom
Magnetization   0.00 μB/cell

---

No. 5
# K2CeS2Br2

Crystalline K2CeS2Br2 at its relaxed geometry (PBE-GGA, the Alexandria database).

Unit cell a=5.3233 b=5.3233 c=9.2330 alpha=106.75 beta=106.75 gamma=90.00
Site moments in Bohr magnetons follow the coordinates.
Element x y z (fractional)
Br 0.8279 0.8279 0.6559  0.00
S 0.0000 0.5000 0.0000  -0.01
Ce 0.0000 0.0000 0.0000  0.19
Br 0.1721 0.1721 0.3441  0.00
K 0.6293 0.6293 0.2586  0.00
S 0.5000 0.0000 0.0000  -0.01
K 0.3707 0.3707 0.7414  0.00

Results
Calculated volume   238.9 Å³/cell
Formation energy without anion corrections   -1674 meV/atom
Magnetization   0.16 μB/cell

---

No. 6
# KCeScBr6

Crystalline KCeScBr6 at its relaxed geometry (PBE-GGA, the Alexandria database).

Unit cell a=7.2866 b=7.2866 c=14.8714 alpha=90.00 beta=90.00 gamma=120.00
Site moments in Bohr magnetons follow the coordinates.
Element x y z (fractional)
Sc 0.3333 0.6667 0.2500  0.49
Br 0.0246 0.6530 0.3599  -0.01
Br 0.6285 0.9754 0.3599  -0.01
Br 0.0246 0.3715 0.1401  -0.01
Br 0.3470 0.3715 0.3599  -0.01
Br 0.3470 0.9754 0.1401  -0.01
Ce 0.6667 0.3333 0.2500  1.24
K 0.0000 0.0000 0.0000  0.00
K 0.0000 0.0000 0.5000  0.00
Br 0.6530 0.0246 0.8599  -0.01
Br 0.3715 0.3470 0.8599  -0.01
Br 0.9754 0.6285 0.8599  -0.01
Br 0.6285 0.6530 0.1401  -0.01
Br 0.3715 0.0246 0.6401  -0.01
Sc 0.6667 0.3333 0.7500  0.49
Br 0.9754 0.3470 0.6401  -0.01
Ce 0.3333 0.6667 0.7500  1.24
Br 0.6530 0.6285 0.6401  -0.01

Results
Calculated volume   683.8 Å³/cell
Formation energy without anion corrections   -1712 meV/atom
Magnetization   4.01 μB/cell

---

No. 7
# KCeSn2Br8

Crystalline KCeSn2Br8 at its relaxed geometry (PBE-GGA, the Alexandria database).

Unit cell a=7.2792 b=6.9324 c=9.1659 alpha=89.99 beta=90.00 gamma=88.97
Site moments in Bohr magnetons follow the coordinates.
Element x y z (fractional)
Br 0.1611 0.7542 0.7725  -0.01
Br 0.3267 0.2477 0.0001  -0.01
Br 0.8389 0.2458 0.2275  -0.01
Ce 0.0000 0.0000 0.0000  0.98
Br 0.6346 0.7251 0.5001  0.00
Br 0.1608 0.7540 0.2276  -0.01
K 0.0000 0.0000 0.5000  0.00
Br 0.6733 0.7523 0.9999  -0.01
Sn 0.5001 0.5000 0.7450  0.00
Sn 0.4999 0.5000 0.2550  0.00
Br 0.3654 0.2749 0.4999  0.00
Br 0.8392 0.2460 0.7724  -0.01

Results
Calculated volume   462.5 Å³/cell
Formation energy without anion corrections   -1262 meV/atom
Magnetization   1.00 μB/cell

---

No. 8
# KCeTeBr2

Crystalline KCeTeBr2 at its relaxed geometry (PBE-GGA, the Alexandria database).

Unit cell a=4.5849 b=9.5664 c=8.9087 alpha=90.00 beta=90.00 gamma=103.87
Site moments in Bohr magnetons follow the coordinates.
Element x y z (fractional)
Ce 0.0000 0.0000 0.0000  0.92
Br 0.1555 0.3110 0.5006  -0.01
Ce 0.0000 0.0000 0.5000  0.92
K 0.2927 0.5854 0.2500  0.00
Br 0.1555 0.3110 0.9994  -0.01
Br 0.8445 0.6890 0.4994  -0.01
Te 0.5008 0.0016 0.7500  -0.03
K 0.7073 0.4146 0.7500  0.00
Br 0.8445 0.6890 0.0006  -0.01
Te 0.4992 0.9984 0.2500  -0.03

Results
Calculated volume   379.4 Å³/cell
Formation energy without anion corrections   -1616 meV/atom
Magnetization   1.95 μB/cell

---

No. 9
# LaCeBr6

Crystalline LaCeBr6 at its relaxed geometry (PBE-GGA, the Alexandria database).

Unit cell a=7.3188 b=7.3168 c=7.9776 alpha=62.69 beta=62.70 gamma=60.00
Site moments in Bohr magnetons follow the coordinates.
Element x y z (fractional)
Br 0.7517 0.0897 0.7512  -0.01
La 0.5000 0.5000 0.5000  0.00
Br 0.2483 0.9103 0.2488  -0.01
Br 0.4074 0.7517 0.7511  -0.01
Br 0.9103 0.5925 0.2491  -0.01
Br 0.0897 0.4075 0.7509  -0.01
Ce 0.0000 0.0000 0.0000  0.98
Br 0.5926 0.2483 0.2489  -0.01

Results
Calculated volume   313.8 Å³/cell
Formation energy without anion corrections   -1857 meV/atom
Excess energy over the best structure of this formula in the dataset   7 meV per atom
Magnetization   1.00 μB/cell

---

No. 10
# La2CeBr

Crystalline La2CeBr at its relaxed geometry (PBE-GGA, the Alexandria database).

Unit cell a=3.7526 b=3.7526 c=10.7701 alpha=79.97 beta=79.97 gamma=60.00
Site moments in Bohr magnetons follow the coordinates.
Element x y z (fractional)
Br 0.0000 0.0000 0.0000  0.00
La 0.7443 0.7443 0.7670  0.00
Ce 0.5000 0.5000 0.5000  0.62
La 0.2557 0.2557 0.2330  0.00

Results
Calculated volume   128.7 Å³/cell
Formation energy without anion corrections   -540 meV/atom
Excess energy over the best structure of this formula in the dataset   0 meV per atom
Magnetization   0.74 μB/cell

---

No. 11
# LaCeBr

Crystalline LaCeBr at its relaxed geometry (PBE-GGA, the Alexandria database).

Unit cell a=5.1626 b=3.5442 c=9.8012 alpha=79.58 beta=90.00 gamma=90.00
Element x y z (fractional)
Ce 0.7500 0.5241 0.9519
Br 0.2500 0.3130 0.3740
Ce 0.2500 0.4759 0.0481
Br 0.7500 0.6870 0.6260
La 0.7500 0.8590 0.2820
La 0.2500 0.1410 0.7180

Results
Calculated volume   176.4 Å³/cell
Formation energy without anion corrections   -752 meV/atom
Magnetization   0.00 μB/cell

---

No. 12
# LaCeBr6

Crystalline LaCeBr6 at its relaxed geometry (PBE-GGA, the Alexandria database).

Unit cell a=7.4737 b=7.4737 c=7.3490 alpha=97.69 beta=97.69 gamma=121.10
Site moments in Bohr magnetons follow the coordinates.
Element x y z (fractional)
Br 0.7537 0.7537 0.2518  0.00
La 0.5000 0.5000 0.5000  0.00
Br 0.0994 0.3985 0.2465  -0.01
Br 0.3985 0.0994 0.2465  -0.01
Br 0.6015 0.9006 0.7535  -0.01
Br 0.2463 0.2463 0.7482  0.00
Br 0.9006 0.6015 0.7535  -0.01
Ce 0.0000 0.0000 0.0000  0.98

Results
Calculated volume   338.2 Å³/cell
Formation energy without anion corrections   -1865 meV/atom
Excess energy over the best structure of this formula in the dataset   0 meV per atom
Magnetization   1.00 μB/cell

---

No. 13
# La2CeBr

Crystalline La2CeBr at its relaxed geometry (PBE-GGA, the Alexandria database).

Unit cell a=3.5861 b=3.5861 c=9.6558 alpha=90.00 beta=90.00 gamma=90.00
Site moments in Bohr magnetons follow the coordinates.
Element x y z (fractional)
La 0.0000 0.0000 0.7463  0.01
La 0.0000 0.0000 0.2537  0.01
Br 0.5000 0.5000 0.5000  0.00
Ce 0.5000 0.5000 0.0000  0.50

Results
Calculated volume   124.2 Å³/cell
Formation energy without anion corrections   -478 meV/atom
Excess energy over the best structure of this formula in the dataset   62 meV per atom
Magnetization   0.63 μB/cell

---

No. 14
# La2CeBr6

Crystalline La2CeBr6 at its relaxed geometry (PBE-GGA, the Alexandria database).

Unit cell a=4.0627 b=8.5226 c=10.9392 alpha=112.62 beta=90.00 gamma=103.79
Site moments in Bohr magnetons follow the coordinates.
Element x y z (fractional)
La 0.6498 0.2996 0.8040  0.35
Br 0.6987 0.3974 0.1103  0.01
Br 0.3013 0.6027 0.8897  0.01
Br 0.0106 0.0212 0.7898  0.01
Ce 0.0000 0.0000 0.5000  1.45
La 0.3502 0.7005 0.1960  0.35
Br 0.6450 0.2901 0.5288  0.01
Br 0.3550 0.7099 0.4712  0.01
Br 0.9894 0.9788 0.2102  0.01

Results
Calculated volume   337.8 Å³/cell
Formation energy without anion corrections   -1709 meV/atom
Magnetization   3.74 μB/cell

---

No. 15
# La2CeBr

Crystalline La2CeBr at its relaxed geometry (PBE-GGA, the Alexandria database).

Unit cell a=3.7495 b=3.7495 c=10.9264 alpha=80.12 beta=80.12 gamma=60.00
Site moments in Bohr magnetons follow the coordinates.
Element x y z (fractional)
La 0.2573 0.2573 0.2280  0.05
Br 0.6663 0.6663 0.0012  0.00
La 0.0760 0.0760 0.7719  0.07
Ce 0.5004 0.5004 0.4989  0.99

Results
Calculated volume   130.4 Å³/cell
Formation energy without anion corrections   -525 meV/atom
Excess energy over the best structure of this formula in the dataset   15 meV per atom
Magnetization   1.65 μB/cell

---

No. 16
# LaCeBr5

Crystalline LaCeBr5 at its relaxed geometry (PBE-GGA, the Alexandria database).

Unit cell a=4.2409 b=8.0366 c=13.7264 alpha=89.97 beta=90.00 gamma=90.00
Site moments in Bohr magnetons follow the coordinates.
Element x y z (fractional)
La 0.7500 0.0732 0.1610  0.27
Br 0.2500 0.8507 0.0679  0.00
Br 0.7500 0.9507 0.6798  -0.01
Br 0.7500 0.1493 0.9321  0.00
Ce 0.2500 0.4280 0.3442  1.26
Br 0.7500 0.3099 0.4865  -0.01
Br 0.2500 0.3383 0.7268  -0.01
Br 0.7500 0.6617 0.2732  -0.01
Br 0.2500 0.0493 0.3202  -0.01
Br 0.2500 0.3424 0.1262  -0.01
Br 0.7500 0.6576 0.8738  -0.01
La 0.2500 0.9268 0.8390  0.27
Ce 0.7500 0.5720 0.6558  1.26
Br 0.2500 0.6901 0.5135  -0.01

Results
Calculated volume   467.8 Å³/cell
Formation energy without anion corrections   -1848 meV/atom
Magnetization   4.18 μB/cell

---

No. 17
# La2CeBr2N2

Crystalline La2CeBr2N2 at its relaxed geometry (PBE-GGA, the Alexandria database).

Unit cell a=4.5630 b=4.5630 c=8.8177 alpha=105.00 beta=105.00 gamma=90.00
Site moments in Bohr magnetons follow the coordinates.
Element x y z (fractional)
Br 0.1854 0.1854 0.3708  0.01
Br 0.8146 0.8146 0.6292  0.01
Ce 0.0000 0.0000 0.0000  0.42
N 0.0000 0.5000 0.0000  -0.04
La 0.4055 0.4055 0.8110  0.36
La 0.5945 0.5945 0.1890  0.36
N 0.5000 0.0000 0.0000  -0.04

Results
Calculated volume   170.9 Å³/cell
Formation energy without anion corrections   -1389 meV/atom
Magnetization   1.66 μB/cell

---

No. 18
# LaCeBrN

Crystalline LaCeBrN at its relaxed geometry (PBE-GGA, the Alexandria database).

Unit cell a=3.7026 b=3.7049 c=7.9053 alpha=89.97 beta=103.54 gamma=120.08
Site moments in Bohr magnetons follow the coordinates.
Element x y z (fractional)
Br 0.9644 0.3800 0.3591  0.00
Ce 0.0884 0.9424 0.0463  0.81
La 0.5137 0.1547 0.6839  0.04
N 0.3114 0.5537 0.8805  -0.02

Results
Calculated volume   90.3 Å³/cell
Formation energy without anion corrections   -1398 meV/atom
Magnetization   1.07 μB/cell

---

No. 19
# LaCe2BrO4

Crystalline LaCe2BrO4 at its relaxed geometry (PBE-GGA, the Alexandria database).

Unit cell a=4.0700 b=4.0700 c=9.2707 alpha=90.00 beta=90.00 gamma=90.00
Site moments in Bohr magnetons follow the coordinates.
Element x y z (fractional)
O 0.5000 0.0000 0.1626  -0.02
La 0.0000 0.0000 0.0000  0.02
O 0.0000 0.5000 0.8374  -0.02
Ce 0.5000 0.5000 0.7301  0.86
Br 0.0000 0.0000 0.5000  -0.01
O 0.0000 0.5000 0.1626  -0.02
O 0.5000 0.0000 0.8374  -0.02
Ce 0.5000 0.5000 0.2699  0.86

Results
Calculated volume   153.6 Å³/cell
Formation energy without anion corrections   -3151 meV/atom
Magnetization   2.01 μB/cell

---

No. 20
# LaCePbBr

Crystalline LaCePbBr at its relaxed geometry (PBE-GGA, the Alexandria database).

Unit cell a=5.5210 b=5.5210 c=5.5210 alpha=60.00 beta=60.00 gamma=60.00
Site moments in Bohr magnetons follow the coordinates.
Element x y z (fractional)
Pb 0.0000 0.0000 0.0000  -0.05
Br 0.5000 0.5000 0.5000  -0.02
La 0.7500 0.7500 0.7500  0.20
Ce 0.2500 0.2500 0.2500  1.07

Results
Calculated volume   119.0 Å³/cell
Formation energy without anion corrections   -784 meV/atom
Magnetization   1.69 μB/cell

---

No. 21
# LaCePtBr

Crystalline LaCePtBr at its relaxed geometry (PBE-GGA, the Alexandria database).

Unit cell a=4.2128 b=4.2128 c=8.2716 alpha=89.99 beta=104.76 gamma=120.00
Site moments in Bohr magnetons follow the coordinates.
Element x y z (fractional)
Pt 0.3086 0.5523 0.8762  0.00
La 0.5034 0.1498 0.6682  0.05
Br 0.9629 0.3794 0.3576  0.00
Ce 0.1030 0.9493 0.0677  0.92

Results
Calculated volume   121.5 Å³/cell
Formation energy without anion corrections   -1208 meV/atom
Magnetization   1.19 μB/cell

---

No. 22
# LaCeRhBr

Crystalline LaCeRhBr at its relaxed geometry (PBE-GGA, the Alexandria database).

Unit cell a=4.0866 b=4.0867 c=8.3473 alpha=90.00 beta=104.17 gamma=120.00
Site moments in Bohr magnetons follow the coordinates.
Element x y z (fractional)
La 0.5038 0.1498 0.6687  0.02
Ce 0.0997 0.9477 0.0629  0.82
Rh 0.3093 0.5526 0.8773  -0.04
Br 0.9651 0.3807 0.3607  0.00

Results
Calculated volume   115.8 Å³/cell
Formation energy without anion corrections   -1057 meV/atom
Magnetization   0.97 μB/cell